KMgN | PBE-GGA | relaxed

Cell lengths 3.6102, 3.6102, 5.0208 Å; angles 89.98, 89.98, 60.03 degrees
Closest atoms and distances in Å follow each position.
Positions (direct):
1 K 0.4255 0.9255 0.0510  6 N 3.26-3.27, 6 Mg 3.26, 6 K 3.61
2 Mg 0.7590 0.2590 0.5507  3 N 2.08
3 N 0.0925 0.5925 0.5503  3 Mg 2.08

N(E_F) = 0.7 states/eV per cell
uncorrected formation energy = -0.305 eV/f.u.
space-group type = P-6m2 (187)

---

KMgN3 | PBE-GGA | relaxed

Cell lengths 4.2802, 4.2802, 4.2802 Å; angles 90.00, 90.00, 90.00 degrees
Closest atoms and distances in Å follow each position.
Positions (direct):
1 K 0.5000 0.5000 0.5000  12 N 3.03
2 Mg 0.0000 0.0000 0.0000  6 N 2.14
3 N 0.0000 0.5000 0.0000  2 Mg 2.14
4 N 0.0000 0.0000 0.5000  2 Mg 2.14
5 N 0.5000 0.0000 0.0000  2 Mg 2.14

N(E_F) = 1.8 states/eV per cell
uncorrected formation energy = 7.127 eV/f.u.
space-group type = Pm-3m (221)

---

> Which value of N(E_F) does entry 1 give?

0.7 states/eV per cell